Li2TaTe after structural relaxation, computed with PBE.

abc: 6.0480 6.0480 6.0480
angles: 101.36 101.36 127.30
Last column: nearest neighbours and their distance in Å.
Fractional positions:
Li1 0.0984 0.6250 0.9734  2 Te 2.66, 2 Li 2.72, 2 Ta 2.94
Li2 0.3750 0.3484 0.4734  2 Te 2.66, 2 Li 2.72, 2 Ta 2.94
Li3 0.6516 0.1250 0.0266  2 Te 2.66, 2 Li 2.72, 2 Ta 2.94
Li4 0.8750 0.9016 0.5266  2 Te 2.66, 2 Li 2.72, 2 Ta 2.94
Ta1 0.2500 0.7500 0.5000  2 Te 2.68, 4 Li 2.94
Ta2 0.5000 0.5000 0.0000  2 Te 2.68, 4 Li 2.94
Te1 0.0000 0.0000 0.0000  4 Li 2.66, 2 Ta 2.68
Te2 0.7500 0.2500 0.5000  4 Li 2.66, 2 Ta 2.68

Output
Energy relative to the elements, uncorrected   0.3868 eV per atom
DOS(E_F)   3.49 states/eV/f.u.

Ac7Ge2Pd2 after structural relaxation, computed with PBE.

abc: 7.3685 7.3685 7.5700
angles: 90.00 90.00 103.79
Last column: nearest neighbours and their distance in Å.
Fractional positions:
Ac1 0.0000 0.0000 0.0000  2 Pd 3.15
Ac2 0.0000 0.5000 0.2692  2 Pd 3.06, 2 Ge 3.40
Ac3 0.0000 0.5000 0.7308  2 Pd 3.06, 2 Ge 3.40
Ac4 0.5000 0.0000 0.2692  2 Pd 3.06, 2 Ge 3.40
Ac5 0.5000 0.0000 0.7308  2 Pd 3.06, 2 Ge 3.40
Ac6 0.5000 0.5000 0.2407  2 Pd 3.21, 2 Ge 3.26
Ac7 0.5000 0.5000 0.7593  2 Pd 3.21, 2 Ge 3.26
Ge1 0.2133 0.2133 0.5000  6 Ac 3.26-3.40
Ge2 0.7867 0.7867 0.5000  6 Ac 3.26-3.40
Pd1 0.2716 0.7284 0.0000  7 Ac 3.06-3.21
Pd2 0.7284 0.2716 0.0000  7 Ac 3.06-3.21

Output
DOS(E_F)   9.22 states/eV/f.u.
DFT formation energy   -0.3304 eV per atom

Na2InPPd after structural relaxation, computed with PBE.

abc: 5.2140 5.2140 5.1120
angles: 90.00 90.00 90.00
Last column: nearest neighbours and their distance in Å.
Fractional positions:
Na1 0.0000 0.5000 0.0000  2 Pd 2.61
Na2 0.5000 0.0000 0.0000  2 Pd 2.61
In1 0.0000 0.0000 0.5000  2 Pd 2.56
P1 0.5000 0.5000 0.5000  8 Na 3.65, 4 In 3.69
Pd1 0.0000 0.0000 0.0000  2 In 2.56, 4 Na 2.61

Output
DOS(E_F)   3.13 states/eV/f.u.
DFT formation energy   0.3011 eV per atom

VSbAuI2 after structural relaxation, computed with PBE.

abc: 5.5788 5.5788 5.4741
angles: 90.00 90.00 90.00
Last column: nearest neighbours and their distance in Å.
Fractional positions:
V1 0.0000 0.0000 0.0000  8 I 3.91, 4 Sb 3.94
Sb1 0.5000 0.5000 0.0000  2 Au 2.74
Au1 0.5000 0.5000 0.5000  2 Sb 2.74, 4 I 2.79
I1 0.0000 0.5000 0.5000  2 Au 2.79
I2 0.5000 0.0000 0.5000  2 Au 2.79

Output
Energy relative to the elements, uncorrected   1.1483 eV per atom
DOS(E_F)   11.32 states/eV/f.u.
E above lowest polymorph   636 meV/atom

Sr4Zn2Au5 after structural relaxation, computed with PBE.

abc: 7.8913 4.1403 9.0674
angles: 90.00 92.90 90.00
Last column: nearest neighbours and their distance in Å.
Fractional positions:
Sr1 0.2133 0.0000 0.3529  6 Au 3.27-3.37, 4 Zn 3.45-3.60
Sr2 0.2704 0.0000 0.8694  8 Au 3.21-3.41, 2 Zn 3.36
Sr3 0.7296 0.0000 0.1306  8 Au 3.21-3.41, 2 Zn 3.36
Sr4 0.7867 0.0000 0.6471  6 Au 3.27-3.37, 4 Zn 3.45-3.60
Zn1 0.4370 0.5000 0.6230  1 Zn 2.49, 2 Au 2.59-2.61
Zn2 0.5630 0.5000 0.3770  1 Zn 2.49, 2 Au 2.59-2.61
Au1 0.0000 0.5000 0.0000  4 Au 3.20-3.53, 4 Sr 3.24
Au2 0.1090 0.5000 0.6277  1 Zn 2.59, 1 Au 2.81
Au3 0.3866 0.5000 0.1261  1 Zn 2.61
Au4 0.6134 0.5000 0.8739  1 Zn 2.61
Au5 0.8910 0.5000 0.3723  1 Zn 2.59, 1 Au 2.81

Output
DOS(E_F)   5.08 states/eV/f.u.
DFT formation energy   -0.6190 eV per atom

LuNiPd after structural relaxation, computed with PBE.

abc: 5.0451 5.0451 5.0451
angles: 140.78 140.78 56.66
Last column: nearest neighbours and their distance in Å.
Fractional positions:
Lu1 0.0000 0.0000 0.0000  5 Ni 2.81-2.97, 5 Pd 2.87
Ni1 0.3344 0.3344 0.0000  5 Pd 2.77-3.05, 5 Lu 2.81-2.97
Pd1 0.6773 0.6773 0.0000  5 Ni 2.77-3.05, 5 Lu 2.87

Output
DOS(E_F)   2.48 states/eV/f.u.
DFT formation energy   -0.5198 eV per atom

HfZr2O after structural relaxation, computed with PBE.

abc: 6.0867 6.0867 6.0867
angles: 114.83 114.83 99.21
Last column: nearest neighbours and their distance in Å.
Fractional positions:
Hf1 0.0000 0.0000 0.0000  8 Zr 3.13-3.47
Hf2 0.7500 0.2500 0.5000  8 Zr 3.13-3.47
Zr1 0.2539 0.6250 0.1289  2 O 2.07
Zr2 0.3750 0.5039 0.6289  2 O 2.07
Zr3 0.4961 0.1250 0.8711  2 O 2.07
Zr4 0.8750 0.7461 0.3711  2 O 2.07
O1 0.2500 0.7500 0.5000  4 Zr 2.07
O2 0.5000 0.5000 0.0000  4 Zr 2.07

Output
Energy relative to the elements, uncorrected   -0.8640 eV per atom
DOS(E_F)   4.28 states/eV/f.u.

Ac5Tb2Te12 after structural relaxation, computed with PBE.

abc: 9.8728 9.8728 10.3997
angles: 101.81 101.81 51.81
Last column: nearest neighbours and their distance in Å.
Fractional positions:
Ac1 0.0000 0.0000 0.0000  6 Te 3.27-3.35
Ac2 0.2943 0.2943 0.1522  7 Te 3.35-3.55
Ac3 0.3249 0.3249 0.6907  7 Te 3.27-3.51
Ac4 0.6751 0.6751 0.3093  7 Te 3.27-3.51
Ac5 0.7057 0.7057 0.8478  7 Te 3.35-3.55
Tb1 0.2518 0.7482 0.5000  6 Te 3.02-3.10
Tb2 0.7482 0.2518 0.5000  6 Te 3.02-3.10
Te1 0.0386 0.0386 0.7070  2 Tb 3.02, 1 Ac 3.27
Te2 0.0651 0.5766 0.4265  1 Tb 3.10, 1 Te 3.23, 1 Ac 3.35
Te3 0.1026 0.6015 0.9371  4 Ac 3.30-3.43
Te4 0.3985 0.8974 0.0629  4 Ac 3.30-3.43
Te5 0.4234 0.9349 0.5735  1 Tb 3.10, 1 Te 3.23, 1 Ac 3.35
Te6 0.4883 0.4883 0.2841  2 Tb 3.08, 2 Ac 3.27-3.41
Te7 0.5117 0.5117 0.7159  2 Tb 3.08, 2 Ac 3.27-3.41
Te8 0.5766 0.0651 0.4265  1 Tb 3.10, 1 Te 3.23, 1 Ac 3.35
Te9 0.6015 0.1026 0.9371  4 Ac 3.30-3.43
Te10 0.8974 0.3985 0.0629  4 Ac 3.30-3.43
Te11 0.9349 0.4234 0.5735  1 Tb 3.10, 1 Te 3.23, 1 Ac 3.35
Te12 0.9614 0.9614 0.2930  2 Tb 3.02, 1 Ac 3.27

Output
Energy relative to the elements, uncorrected   -1.3169 eV per atom
DOS(E_F)   4.85 states/eV/f.u.

| no. | mass density (Mg/m³) |
| --- | --- |
| 1 | 6.79 |
| 2 | 8.10 |
| 3 | 3.56 |
| 4 | 6.08 |
| 5 | 8.23 |
| 6 | 11.09 |
| 7 | 7.38 |
| 8 | 6.39 |